Record 1
This record from Alexandria describes a relaxed structure of MnMoPt. The functional is PBE.

Calculated values
- Energy: -8.70 eV per atom
- Total moment: 2.02 μB per formula unit
- Energy of formation from the pure elements: -0.0191 eV per atom

The structure in CIF format:
```
data_MnMoPt
_symmetry_space_group_name_H-M 'P 3 m 1'
_symmetry_Int_Tables_number 156
_cell_length_a 4.3321
_cell_length_b 4.3321
_cell_length_c 2.6937
_cell_angle_alpha 90.00
_cell_angle_beta 90.00
_cell_angle_gamma 120.00
loop_
_symmetry_equiv_pos_as_xyz
'x,y,z'
'-y,x-y,z'
'-x+y,-x,z'
'-y,-x,z'
'-x+y,y,z'
'x,x-y,z'
loop_
_atom_site_label
_atom_site_type_symbol
_atom_site_fract_x
_atom_site_fract_y
_atom_site_fract_z
_atom_site_occupancy
Mn1 Mn 0.0000 0.0000 0.0000 1
Mo1 Mo 0.3333 0.6667 0.1466 1
Pt1 Pt 0.6667 0.3333 0.6049 1
```

***

Record 2
This record from Alexandria describes a relaxed structure of CoTcCl2. The functional is PBE.

Calculated values
- Energy: -4.48 eV per atom
- Total moment: 1.76 μB per formula unit

The structure in CIF format:
```
data_CoTcCl2
_symmetry_space_group_name_H-M 'F m -3 m'
_symmetry_Int_Tables_number 225
_symmetry_space_group_name_Hall '-F 4 2 3'
_cell_length_a 6.107
_cell_length_b 6.107
_cell_length_c 6.107
_cell_angle_alpha 90.00
_cell_angle_beta 90.00
_cell_angle_gamma 90.00
loop_
_atom_site_label
_atom_site_type_symbol
_atom_site_fract_x
_atom_site_fract_y
_atom_site_fract_z
_atom_site_occupancy
Co1 Co 0.000 0.000 0.000 1
Tc1 Tc 0.000 0.000 0.500 1
Cl1 Cl 0.250 0.250 0.250 1
```

***

Record 3
This record from Alexandria describes a relaxed structure of Ce4P6Ru7. The functional is PBE.

Calculated values
- Energy: -8.08 eV per atom
- Total moment: 0.00 μB per formula unit
- Energy of formation from the pure elements: -0.9565 eV per atom

The structure in CIF format:
```
data_Ce4P6Ru7
_symmetry_space_group_name_H-M 'I m -3 m'
_symmetry_Int_Tables_number 229
_symmetry_space_group_name_Hall '-I 4 2 3'
_cell_length_a 8.228
_cell_length_b 8.228
_cell_length_c 8.228
_cell_angle_alpha 90.00
_cell_angle_beta 90.00
_cell_angle_gamma 90.00
loop_
_atom_site_label
_atom_site_type_symbol
_atom_site_fract_x
_atom_site_fract_y
_atom_site_fract_z
_atom_site_occupancy
Ce1 Ce 0.250 0.250 0.250 1
P1 P 0.000 0.000 0.322 1
Ru1 Ru 0.000 0.000 0.000 1
Ru2 Ru 0.000 0.250 0.500 1
```

***

Record 4
This record from Alexandria describes a relaxed structure of NaSn5Au3. The functional is PBE.

Calculated values
- Energy: -3.54 eV per atom
- Total moment: 0.00 μB per formula unit
- Energy of formation from the pure elements: -0.0736 eV per atom

The structure in CIF format:
```
data_NaSn5Au3
_symmetry_space_group_name_H-M 'C 1 2/m 1'
_symmetry_Int_Tables_number 12
_cell_length_a 12.016
_cell_length_b 8.535
_cell_length_c 10.497
_cell_angle_alpha 90.00
_cell_angle_beta 108.48
_cell_angle_gamma 90.00
loop_
_symmetry_equiv_pos_as_xyz
'x,y,z'
'-x,-y,-z'
'-x,y,-z'
'x,-y,z'
'x+1/2,y+1/2,z'
'-x+1/2,-y+1/2,-z'
'-x+1/2,y+1/2,-z'
'x+1/2,-y+1/2,z'
loop_
_atom_site_label
_atom_site_type_symbol
_atom_site_fract_x
_atom_site_fract_y
_atom_site_fract_z
_atom_site_occupancy
Na1 Na 0.104 0.000 0.289 1
Sn1 Sn 0.000 0.315 0.000 1
Sn2 Sn 0.098 0.500 0.411 1
Sn3 Sn 0.181 0.207 0.615 1
Sn4 Sn 0.233 0.000 0.022 1
Au1 Au 0.000 0.000 0.000 1
Au2 Au 0.000 0.000 0.500 1
Au3 Au 0.144 0.500 0.714 1
Au4 Au 0.172 0.500 0.184 1
```

***

Record 5
This record from Alexandria describes a relaxed structure of ThB2C. The functional is PBE.

Calculated values
- Energy: -8.03 eV per atom
- Total moment: 0.00 μB per formula unit
- Energy of formation from the pure elements: -0.5256 eV per atom

The structure in CIF format:
```
data_ThB2C
_symmetry_space_group_name_H-M 'R -3 m'
_symmetry_Int_Tables_number 166
_symmetry_space_group_name_Hall '-R 3 2"'
_cell_length_a 6.6936
_cell_length_b 6.6936
_cell_length_c 11.4868
_cell_angle_alpha 90.00
_cell_angle_beta 90.00
_cell_angle_gamma 120.00
loop_
_atom_site_label
_atom_site_type_symbol
_atom_site_fract_x
_atom_site_fract_y
_atom_site_fract_z
_atom_site_occupancy
Th1 Th 0.0000 0.0000 0.0000 1
Th2 Th 0.0000 0.0000 0.3156 1
B1 B 0.0000 0.2758 0.5000 1
C1 C 0.0000 0.5000 0.5000 1
```

***

Record 6
This record from Alexandria describes a relaxed structure of LaTaP3. The functional is PBE.

Calculated values
- Energy: -7.21 eV per atom
- Total moment: 0.00 μB per formula unit
- Energy of formation from the pure elements: -0.6122 eV per atom

The structure in CIF format:
```
data_LaTaP3
_symmetry_space_group_name_H-M 'P m -3 m'
_symmetry_Int_Tables_number 221
_symmetry_space_group_name_Hall '-P 4 2 3'
_cell_length_a 4.819
_cell_length_b 4.819
_cell_length_c 4.819
_cell_angle_alpha 90.00
_cell_angle_beta 90.00
_cell_angle_gamma 90.00
loop_
_atom_site_label
_atom_site_type_symbol
_atom_site_fract_x
_atom_site_fract_y
_atom_site_fract_z
_atom_site_occupancy
La1 La 0.000 0.000 0.000 1
Ta1 Ta 0.500 0.500 0.500 1
P1 P 0.000 0.500 0.500 1
```

***

Record 7
This record from Alexandria describes a relaxed structure of TlTcSb2. The functional is PBE.

Calculated values
- Energy: -4.54 eV per atom
- Total moment: 2.21 μB per formula unit

The structure in CIF format:
```
data_TlTcSb2
_symmetry_space_group_name_H-M 'I -4 m 2'
_symmetry_Int_Tables_number 119
_symmetry_space_group_name_Hall 'I -4 -2'
_cell_length_a 4.425
_cell_length_b 4.425
_cell_length_c 9.689
_cell_angle_alpha 90.00
_cell_angle_beta 90.00
_cell_angle_gamma 90.00
loop_
_atom_site_label
_atom_site_type_symbol
_atom_site_fract_x
_atom_site_fract_y
_atom_site_fract_z
_atom_site_occupancy
Tl1 Tl 0.000 0.000 0.000 1
Tc1 Tc 0.000 0.500 0.250 1
Sb1 Sb 0.000 0.000 0.500 1
Sb2 Sb 0.000 0.500 0.750 1
```

***

Record 8
This record from Alexandria describes a relaxed structure of Ac3Zn9Ir2. The functional is PBE.

Calculated values
- Energy: -3.28 eV per atom
- Total moment: 0.00 μB per formula unit
- Energy of formation from the pure elements: -0.3124 eV per atom

The structure in CIF format:
```
data_Ac3Zn9Ir2
_symmetry_space_group_name_H-M 'I m m m'
_symmetry_Int_Tables_number 71
_symmetry_space_group_name_Hall '-I 2 2'
_cell_length_a 4.496
_cell_length_b 9.750
_cell_length_c 13.157
_cell_angle_alpha 90.00
_cell_angle_beta 90.00
_cell_angle_gamma 90.00
loop_
_atom_site_label
_atom_site_type_symbol
_atom_site_fract_x
_atom_site_fract_y
_atom_site_fract_z
_atom_site_occupancy
Ac1 Ac 0.000 0.000 0.000 1
Ac2 Ac 0.000 0.000 0.314 1
Zn1 Zn 0.000 0.283 0.117 1
Zn2 Zn 0.000 0.352 0.332 1
Zn3 Zn 0.000 0.500 0.000 1
Ir1 Ir 0.000 0.213 0.500 1
```

***

Record 9
This record from Alexandria describes a relaxed structure of EuYCd. The functional is PBE.

Calculated values
- Energy: -6.06 eV per atom
- Total moment: 7.70 μB per formula unit
- Energy of formation from the pure elements: -0.1782 eV per atom

The structure in CIF format:
```
data_EuYCd
_symmetry_space_group_name_H-M 'I 4 m m'
_symmetry_Int_Tables_number 107
_symmetry_space_group_name_Hall 'I 4 -2'
_cell_length_a 3.791
_cell_length_b 3.791
_cell_length_c 13.155
_cell_angle_alpha 90.00
_cell_angle_beta 90.00
_cell_angle_gamma 90.00
loop_
_atom_site_label
_atom_site_type_symbol
_atom_site_fract_x
_atom_site_fract_y
_atom_site_fract_z
_atom_site_occupancy
Eu1 Eu 0.000 0.000 0.000 1
Y1 Y 0.000 0.000 0.292 1
Cd1 Cd 0.000 0.000 0.661 1
```

***

Record 10
This record from Alexandria describes a relaxed structure of LiLaAgOs2. The functional is PBE.

Calculated values
- Energy: -5.33 eV per atom
- Total moment: 2.14 μB per formula unit
- Energy of formation from the pure elements: 1.1030 eV per atom

The structure in CIF format:
```
data_LiLaAgOs2
_symmetry_space_group_name_H-M 'P 4/m m m'
_symmetry_Int_Tables_number 123
_symmetry_space_group_name_Hall '-P 4 2'
_cell_length_a 4.991
_cell_length_b 4.991
_cell_length_c 4.335
_cell_angle_alpha 90.00
_cell_angle_beta 90.00
_cell_angle_gamma 90.00
loop_
_atom_site_label
_atom_site_type_symbol
_atom_site_fract_x
_atom_site_fract_y
_atom_site_fract_z
_atom_site_occupancy
Li1 Li 0.000 0.000 0.000 1
La1 La 0.500 0.500 0.000 1
Ag1 Ag 0.000 0.000 0.500 1
Os1 Os 0.000 0.500 0.500 1
```

***

Record 11
This record from Alexandria describes a relaxed structure of Nd2MnAl. The functional is PBE.

Calculated values
- Energy: -5.14 eV per atom
- Total moment: 3.21 μB per formula unit
- Energy of formation from the pure elements: 0.4741 eV per atom

The structure in CIF format:
```
data_Nd2MnAl
_symmetry_space_group_name_H-M 'R -3 m'
_symmetry_Int_Tables_number 166
_symmetry_space_group_name_Hall '-R 3 2"'
_cell_length_a 3.3562
_cell_length_b 3.3562
_cell_length_c 32.8495
_cell_angle_alpha 90.00
_cell_angle_beta 90.00
_cell_angle_gamma 120.00
loop_
_atom_site_label
_atom_site_type_symbol
_atom_site_fract_x
_atom_site_fract_y
_atom_site_fract_z
_atom_site_occupancy
Nd1 Nd 0.0000 0.0000 0.0901 1
Mn1 Mn 0.0000 0.0000 0.0000 1
Al1 Al 0.0000 0.0000 0.5000 1
```

***

Record 12
This record from Alexandria describes a relaxed structure of LaHfHg. The functional is PBE.

Calculated values
- Energy: -5.17 eV per atom
- Total moment: 0.29 μB per formula unit
- Energy of formation from the pure elements: -0.1102 eV per atom

The structure in CIF format:
```
data_LaHfHg
_symmetry_space_group_name_H-M 'P 4/n m m'
_symmetry_Int_Tables_number 129
_cell_length_a 4.623
_cell_length_b 4.623
_cell_length_c 7.834
_cell_angle_alpha 90.00
_cell_angle_beta 90.00
_cell_angle_gamma 90.00
loop_
_symmetry_equiv_pos_as_xyz
'x,y,z'
'-x,-y,-z'
'-y+1/2,x,z'
'y+1/2,-x,-z'
'-x+1/2,-y+1/2,z'
'x+1/2,y+1/2,-z'
'y,-x+1/2,z'
'-y,x+1/2,-z'
'x+1/2,-y,-z'
'-x+1/2,y,z'
'-y,-x,-z'
'y,x,z'
'-x,y+1/2,-z'
'x,-y+1/2,z'
'y+1/2,x+1/2,-z'
'-y+1/2,-x+1/2,z'
loop_
_atom_site_label
_atom_site_type_symbol
_atom_site_fract_x
_atom_site_fract_y
_atom_site_fract_z
_atom_site_occupancy
La1 La 0.250 0.250 0.154 1
Hf1 Hf 0.250 0.750 0.500 1
Hg1 Hg 0.250 0.250 0.740 1
```